--- P ---
A plane-wave DFT calculation with PBE was carried out for crystalline CdSi2Te at its relaxed geometry.

M_tot   0.000 μB per atom
Fermi-level density of states   0.441 states/eV per atom

Structure (CIF):
```
data_CdSi2Te
_cell_length_a 5.4327
_cell_length_b 5.4327
_cell_length_c 5.4327
_cell_angle_alpha 132.15
_cell_angle_beta 132.15
_cell_angle_gamma 70.00
_symmetry_space_group_name_H-M 'P 1'
_symmetry_Int_Tables_number 1
_symmetry_space_group_name_Hall 'P 1'
loop_
_atom_site_label
_atom_site_fract_x
_atom_site_fract_y
_atom_site_fract_z
Cd1 0.7500 0.2500 0.5000
Si1 0.0000 0.0000 0.0000
Si2 0.5000 0.5000 0.0000
Te1 0.2500 0.7500 0.5000
```

=====

--- Q ---
A plane-wave DFT calculation with PBE was carried out for crystalline CdSi2Te at its relaxed geometry.

M_tot   0.000 μB per atom
Fermi-level density of states   0.356 states/eV per atom

Structure (CIF):
```
data_CdSi2Te
_cell_length_a 4.9022
_cell_length_b 4.9022
_cell_length_c 3.5981
_cell_angle_alpha 90.00
_cell_angle_beta 90.00
_cell_angle_gamma 99.07
_symmetry_space_group_name_H-M 'P 1'
_symmetry_Int_Tables_number 1
_symmetry_space_group_name_Hall 'P 1'
loop_
_atom_site_label
_atom_site_fract_x
_atom_site_fract_y
_atom_site_fract_z
Cd1 0.0000 0.5000 0.5000
Si1 0.0000 0.0000 0.0000
Si2 0.5000 0.5000 0.0000
Te1 0.5000 0.0000 0.5000
```

=====

Which of them is the most stable? Correct choice: Q.

=====

--- P ---
A plane-wave DFT calculation with PBE was carried out for crystalline CdSi2Te at its relaxed geometry.

M_tot   0.000 μB per atom
Fermi-level density of states   0.266 states/eV per atom

Structure (CIF):
```
data_CdSi2Te
_cell_length_a 7.5060
_cell_length_b 7.5060
_cell_length_c 7.5060
_cell_angle_alpha 29.43
_cell_angle_beta 29.43
_cell_angle_gamma 29.43
_symmetry_space_group_name_H-M 'P 1'
_symmetry_Int_Tables_number 1
_symmetry_space_group_name_Hall 'P 1'
loop_
_atom_site_label
_atom_site_fract_x
_atom_site_fract_y
_atom_site_fract_z
Cd1 0.7500 0.7500 0.7500
Si1 0.9985 0.9985 0.9985
Si2 0.5015 0.5015 0.5015
Te1 0.2500 0.2500 0.2500
```

=====

--- Q ---
A plane-wave DFT calculation with PBE was carried out for crystalline CdSi2Te at its relaxed geometry.

M_tot   0.000 μB per atom
Fermi-level density of states   0.001 states/eV per atom

Structure (CIF):
```
data_CdSi2Te
_cell_length_a 6.1280
_cell_length_b 6.1280
_cell_length_c 7.4725
_cell_angle_alpha 65.79
_cell_angle_beta 65.79
_cell_angle_gamma 90.00
_symmetry_space_group_name_H-M 'P 1'
_symmetry_Int_Tables_number 1
_symmetry_space_group_name_Hall 'P 1'
loop_
_atom_site_label
_atom_site_fract_x
_atom_site_fract_y
_atom_site_fract_z
Si1 0.6104 0.1250 0.2500
Si2 0.1396 0.6250 0.2500
Si3 0.3750 0.3896 0.7500
Si4 0.8750 0.8604 0.7500
Te1 0.0000 0.0000 0.0000
Te2 0.7500 0.2500 0.5000
Cd1 0.5000 0.5000 0.0000
Cd2 0.2500 0.7500 0.5000
```

=====

--- R ---
A plane-wave DFT calculation with PBE was carried out for crystalline CdSi2Te at its relaxed geometry.

M_tot   0.000 μB per atom
Fermi-level density of states   0.375 states/eV per atom

Structure (CIF):
```
data_CdSi2Te
_cell_length_a 7.3922
_cell_length_b 7.3922
_cell_length_c 7.3922
_cell_angle_alpha 29.77
_cell_angle_beta 29.77
_cell_angle_gamma 29.77
_symmetry_space_group_name_H-M 'P 1'
_symmetry_Int_Tables_number 1
_symmetry_space_group_name_Hall 'P 1'
loop_
_atom_site_label
_atom_site_fract_x
_atom_site_fract_y
_atom_site_fract_z
Cd1 0.7385 0.7385 0.7385
Si1 0.9851 0.9851 0.9851
Si2 0.2669 0.2669 0.2669
Te1 0.5095 0.5095 0.5095
```

=====

Which of them is the most stable? Correct choice: R.